# 1
Computed, not measured: a relaxed structure of NdNi4B4 at the PBE level of DFT.

Computed properties:
Crystal system: tetragonal
VASP energy (eV/atom): -6.441
Formation enthalpy at 0 K (eV/atom): -0.37
ΔE to the lowest computed polymorph (eV per formula unit): 0.16

abc: 5.097 5.097 7.164
angles: 90.00 90.00 90.00
Space group P4_2/nmc (No. 137, origin choice 2)
One atom of each set of equivalent atoms:
Nd (0.250, 0.750, 0.250) (multiplicity 2)
Ni (0.001, 0.750, 0.616) (multiplicity 8)
B (0.081, 0.250, 0.089) (multiplicity 8)


# 2
Computed, not measured: a relaxed structure of LaTbAlGe at the PBE level of DFT.

Computed properties:
Crystal system: orthorhombic
VASP energy (eV/atom): -5.137
Formation enthalpy at 0 K (eV/atom): -0.66

abc: 4.107 4.477 11.353
angles: 90.00 90.00 90.00
Space group Amm2 (No. 38)
One atom of each set of equivalent atoms:
La (0.000, 0.000, 0.000) (multiplicity 2)
Tb (0.500, 0.000, 0.717) (multiplicity 2)
Al (0.500, 0.000, 0.422) (multiplicity 2)
Ge (0.000, 0.000, 0.279) (multiplicity 2)


These records have size of the total moment values of 0.00, 0.17 μB/cell, in the order they appear.